Entry 1:
First-principles (GGA-PBE) data for an optimized crystal structure of Sm2HoCo2B2As3, as listed in the Open Quantum Materials Database.

Properties
The space-group type is I4/mmm, No. 139. The value obtained for the final energy is -63.010 eV/cell.

Cell: 11.6701 11.6701 11.6701 Å, 160.41 160.41 27.84°
Fractional positions:
As1 0.1245 0.1245 0.0000
As2 0.5000 0.5000 0.0000
As3 0.8755 0.8755 0.0000
B1 0.2181 0.2181 0.0000
B2 0.7819 0.7819 0.0000
Co1 0.7500 0.2500 0.5000
Co2 0.2500 0.7500 0.5000
Ho1 0.0000 0.0000 0.0000
Sm1 0.3557 0.3557 0.0000
Sm2 0.6443 0.6443 0.0000


Entry 2:
First-principles (GGA-PBE) data for an optimized crystal structure of BaPdSeO, as listed in the Open Quantum Materials Database.

Properties
The space-group type is Pca2_1, No. 29. The calculation puts the energy above the lowest structure with this stoichiometry at 0.218 eV/atom. The value obtained for the final energy is -79.062 eV/cell.

Cell: 6.6890 9.2730 6.6023 Å, 90.00 90.00 90.00°
Fractional positions:
Ba1 0.0124 0.3007 0.0324
Ba2 0.5124 0.6993 0.0324
Ba3 0.4876 0.3007 0.5324
Ba4 0.9876 0.6993 0.5324
O1 0.2015 0.0678 0.1102
O2 0.7015 0.9322 0.1102
O3 0.2985 0.0678 0.6102
O4 0.7985 0.9322 0.6102
Pd1 0.4912 0.0758 0.0775
Pd2 0.9912 0.9242 0.0775
Pd3 0.0088 0.0758 0.5775
Pd4 0.5088 0.9242 0.5775
Se1 0.5196 0.3414 0.0300
Se2 0.0196 0.6586 0.0300
Se3 0.9804 0.3414 0.5300
Se4 0.4804 0.6586 0.5300


Entry 3:
First-principles (GGA-PBE) data for an optimized crystal structure of AlReNi2, as listed in the Open Quantum Materials Database.

Properties
The space-group type is F-43m, No. 216. The value obtained for the final energy is -27.368 eV/cell.

Cell: 4.1374 4.1374 4.1374 Å, 60.00 60.00 60.00°
Fractional positions:
Al1 0.5000 0.5000 0.5000
Ni1 0.0000 0.0000 0.0000
Ni2 0.7500 0.7500 0.7500
Re1 0.2500 0.2500 0.2500


Entry 4:
First-principles (GGA-PBE) data for an optimized crystal structure of TlAgOsO3, as listed in the Open Quantum Materials Database.

Properties
The space-group type is Pnma, No. 62. The value obtained for the final energy is -138.076 eV/cell.

Cell: 10.0640 3.1754 11.0884 Å, 90.00 90.00 90.00°
Fractional positions:
Ag1 0.4044 0.0000 0.0687
Ag2 0.9044 0.5000 0.4313
Ag3 0.0956 0.0000 0.5687
Ag4 0.5956 0.5000 0.9313
O1 0.7309 0.0000 0.0880
O2 0.1782 0.0000 0.0924
O3 0.9528 0.5000 0.1166
O4 0.4528 0.0000 0.3834
O5 0.6782 0.5000 0.4076
O6 0.2309 0.5000 0.4120
O7 0.7691 0.0000 0.5880
O8 0.3218 0.0000 0.5924
O9 0.5472 0.5000 0.6166
O10 0.0472 0.0000 0.8834
O11 0.8218 0.5000 0.9076
O12 0.2691 0.5000 0.9120
Os1 0.8954 0.0000 0.0060
Os2 0.3954 0.5000 0.4940
Os3 0.6046 0.0000 0.5060
Os4 0.1046 0.5000 0.9940
Tl1 0.5959 0.5000 0.2046
Tl2 0.0959 0.0000 0.2954
Tl3 0.9041 0.5000 0.7046
Tl4 0.4041 0.0000 0.7954


Entry 5:
First-principles (GGA-PBE) data for an optimized crystal structure of La2TbMg3Ir3, as listed in the Open Quantum Materials Database.

Properties
The space-group type is Amm2, No. 38. The value obtained for the final energy is -51.463 eV/cell.

Cell: 4.1562 7.4359 7.4359 Å, 120.38 90.00 90.00°
Fractional positions:
Ir1 0.5000 0.6624 0.3370
Ir2 0.5000 0.3370 0.6624
Ir3 0.0000 0.9931 0.9931
La1 0.0000 0.4158 0.0013
La2 0.0000 0.0013 0.4158
Mg1 0.5000 0.2432 0.2432
Mg2 0.5000 0.9948 0.7601
Mg3 0.5000 0.7601 0.9948
Tb1 0.0000 0.5924 0.5924


Entry 6:
First-principles (GGA-PBE) data for an optimized crystal structure of YHoEr, as listed in the Open Quantum Materials Database.

Properties
The space-group type is F-43m, No. 216. Its energy of formation is 728 meV per atom. The calculation puts the energy above the lowest structure with this stoichiometry at 0.000 eV/atom. The value obtained for the final energy is -13.422 eV/cell.

Cell: 5.3888 5.3888 5.3888 Å, 60.00 60.00 60.00°
Fractional positions:
Er1 0.0000 0.0000 0.0000
Ho1 0.2500 0.2500 0.2500
Y1 0.7500 0.7500 0.7500